PmDy3Rh after structural relaxation, computed with PBE-GGA.

Cell: 5.4207 5.4207 5.4207 Å, 90.00 90.00 90.00°
Closest atoms and distances in Å follow each position.
Positions (direct):
Pm 0.0000 0.0000 0.0000  12 Dy 3.83
Dy 0.0000 0.5000 0.5000  2 Rh 2.71
Dy 0.5000 0.0000 0.5000  2 Rh 2.71
Dy 0.5000 0.5000 0.0000  2 Rh 2.71
Rh 0.5000 0.5000 0.5000  6 Dy 2.71

raw total energy = -5.423 eV/atom
calculated formation energy = -241 meV per atom
magnetization = 0.1339 μB/atom
space group = Pm-3m, No. 221
relative energy among the computed polymorphs = 50.8 meV/atom
ρ = 7.67 g/cm3